Entry from the Alexandria database: a relaxed structure of LaVO2F (PBE+U).

Calculated values
Its electronic total energy is -7.454 eV/atom. Its space group is P4/mmm.

Geometry as POSCAR:
```
LaVO2F
1.0
4.1090 0.0000 0.0000
0.0000 4.1090 0.0000
0.0000 0.0000 3.9211
F O La V
1 2 1 1
Cartesian
0.0000 0.0000 1.9605
0.0000 2.0545 0.0000
2.0545 0.0000 0.0000
2.0545 2.0545 1.9605
0.0000 0.0000 0.0000
```